DFT (meta-GGA SCAN) results for a crystal of Be2Zn2F relaxed with PBEsol.

Density (g cm⁻³): 4.128
Spin magnetization (μB/f.u.): 0.0
E_form (uncorrected) (eV per formula unit): 1.31

abc: 6.290 6.290 6.290
angles: 148.55 148.55 45.07
Sites, in units of the cell vectors:
Be1 0.094 0.094 0.000
Be2 0.906 0.906 0.000
Zn1 0.250 0.750 0.500
Zn2 0.750 0.250 0.500
F1 0.500 0.500 0.000